1.
ZrScSi2Au | PBE | relaxed

Cell lengths 5.003, 5.003, 5.108 Å; angles 90.00, 90.00, 90.00 degrees
Space group P4/mmm (No. 123)
Symmetry-distinct sites (fractional):
Zr (0.000, 0.000, 0.000) [1 per cell]
Sc (0.000, 0.000, 0.500) [1 per cell]
Si (0.000, 0.500, 0.000) [2 per cell]
Au (0.500, 0.500, 0.500) [1 per cell]

## Properties
The value obtained for the total moment is 0.0 μB/f.u. The calculation puts the total energy at -24.903 eV for the cell shown. As for the formation energy (no corrections): 0.820 eV per atom.

=====

2.
ScNb2MoN | PBE | relaxed

Cell lengths 4.752, 4.752, 4.497 Å; angles 90.00, 90.00, 90.00 degrees
Space group P4/mmm (No. 123)
Symmetry-distinct sites (fractional):
Sc (0.000, 0.000, 0.000) [1 per cell]
Nb (0.000, 0.500, 0.000) [2 per cell]
Mo (0.000, 0.000, 0.500) [1 per cell]
N (0.500, 0.500, 0.500) [1 per cell]

## Properties
The value obtained for the total moment is 0.0 μB/f.u. The calculation puts the total energy at -31.708 eV for the cell shown. As for the formation energy (no corrections): 2.784 eV per atom.

=====

3.
Cd3H2Pt4 | PBE | relaxed

Cell lengths 12.589, 7.900, 5.639 Å; angles 90.00, 106.91, 90.00 degrees
Space group C2/c (No. 15)
Symmetry-distinct sites (fractional):
Cd (0.000, 0.034, 0.250) [4 per cell]
Cd (0.111, 0.352, 0.474) [8 per cell]
H (0.239, 0.374, 0.043) [8 per cell]
Pt (0.097, 0.281, 0.962) [8 per cell]
Pt (0.210, 0.018, 0.673) [8 per cell]

## Properties
The value obtained for the total moment is 0.0 μB/f.u. The calculation puts the total energy at -138.821 eV for the cell shown.

=====

4.
Ca2FeTc | PBE | relaxed

Cell lengths 3.630, 5.049, 9.876 Å; angles 90.00, 90.00, 90.00 degrees
Space group Imm2 (No. 44)
Symmetry-distinct sites (fractional):
Ca (0.000, 0.000, 0.000) [2 per cell]
Ca (0.000, 0.500, 0.215) [2 per cell]
Fe (0.000, 0.500, 0.786) [2 per cell]
Tc (0.000, 0.000, 0.413) [2 per cell]

## Properties
The value obtained for the total moment is 0.0 μB/f.u. The calculation puts the total energy at -42.301 eV for the cell shown. For the formation energy, the calculation gives 0.4204 eV per atom.

=====

5.
CsLi3P | PBE | relaxed

Cell lengths 5.127, 5.127, 5.127 Å; angles 90.00, 90.00, 90.00 degrees
Space group Pm-3m (No. 221)
Symmetry-distinct sites (fractional):
Cs (0.000, 0.000, 0.000) [1 per cell]
Li (0.000, 0.000, 0.500) [3 per cell]
P (0.500, 0.500, 0.500) [1 per cell]

## Properties
The value obtained for the total moment is 0.4 μB/f.u. The calculation puts the total energy at -6.758 eV for the cell shown. For the formation energy, the calculation gives 1.0494 eV per atom.

=====

6.
Dy4Y4Ho | PBE | relaxed

Cell lengths 11.241, 5.025, 10.656 Å; angles 90.00, 108.54, 90.00 degrees
Space group C2/m (No. 12)
Symmetry-distinct sites (fractional):
Dy (0.167, 0.000, 0.055) [4 per cell]
Dy (0.167, 0.000, 0.723) [4 per cell]
Y (0.000, 0.500, 0.167) [4 per cell]
Y (0.167, 0.000, 0.389) [4 per cell]
Ho (0.000, 0.500, 0.500) [2 per cell]

## Properties
The value obtained for the total moment is 0.0 μB/f.u. The calculation puts the total energy at -97.310 eV for the cell shown. For the formation energy, the calculation gives 0.0209 eV per atom.